P:
# Pm3ErAl2 PBE optimized geometry
data_Pm3ErAl2
_space_group_name_H-M_alt 'C m m m'
_space_group_IT_number 65
_space_group_name_Hall '-C 2 2'
_cell_length_a 4.926
_cell_length_b 15.154
_cell_length_c 4.426
_cell_angle_alpha 90.00
_cell_angle_beta 90.00
_cell_angle_gamma 90.00
loop_
_atom_site_label
_atom_site_type_symbol
_atom_site_fract_x
_atom_site_fract_y
_atom_site_fract_z
Pm1 Pm 0.000 0.000 0.000
Pm2 Pm 0.000 0.324 0.000
Er1 Er 0.000 0.500 0.500
Al1 Al 0.000 0.154 0.500
# calculated volume	330.35	Å³ per cell



Q:
# Pm3ErAl2 PBE optimized geometry
data_Pm3ErAl2
_space_group_name_H-M_alt 'P m c 21'
_space_group_IT_number 26
_cell_length_a 5.186
_cell_length_b 9.685
_cell_length_c 6.642
_cell_angle_alpha 90.00
_cell_angle_beta 90.00
_cell_angle_gamma 90.00
loop_
_space_group_symop_operation_xyz
'x,y,z'
'-x,-y,z+1/2'
'-x,y,z'
'x,-y,z+1/2'
loop_
_atom_site_label
_atom_site_type_symbol
_atom_site_fract_x
_atom_site_fract_y
_atom_site_fract_z
Pm1 Pm 0.000 0.040 0.000
Pm2 Pm 0.000 0.331 0.334
Pm3 Pm 0.500 0.179 0.717
Er1 Er 0.500 0.457 0.049
Al1 Al 0.000 0.352 0.822
Al2 Al 0.500 0.150 0.232
# calculated volume	333.59	Å³ per cell



Q takes first place; second place is 74 meV per atom up.



P:
# Pm3Er2Al3 PBE optimized geometry
data_Pm3Er2Al3
_space_group_name_H-M_alt 'P -6 2 m'
_space_group_IT_number 189
_space_group_name_Hall 'P -6 -2'
_cell_length_a 8.5473
_cell_length_b 8.5473
_cell_length_c 3.3018
_cell_angle_alpha 90.00
_cell_angle_beta 90.00
_cell_angle_gamma 120.00
loop_
_atom_site_label
_atom_site_type_symbol
_atom_site_fract_x
_atom_site_fract_y
_atom_site_fract_z
Pm1 Pm 0.0000 0.7558 0.0000
Er1 Er 0.3333 0.6667 0.0000
Al1 Al 0.0000 0.3881 0.5000
# calculated volume	208.90	Å³ per cell



Q:
# Pm3Er2Al3 PBE optimized geometry
data_Pm3Er2Al3
_space_group_name_H-M_alt 'I m m m'
_space_group_IT_number 71
_space_group_name_Hall '-I 2 2'
_cell_length_a 3.711
_cell_length_b 5.277
_cell_length_c 21.854
_cell_angle_alpha 90.00
_cell_angle_beta 90.00
_cell_angle_gamma 90.00
loop_
_atom_site_label
_atom_site_type_symbol
_atom_site_fract_x
_atom_site_fract_y
_atom_site_fract_z
Pm1 Pm 0.000 0.000 0.000
Pm2 Pm 0.000 0.500 0.120
Er1 Er 0.000 0.000 0.231
Al1 Al 0.000 0.000 0.500
Al2 Al 0.000 0.500 0.380
# calculated volume	427.95	Å³ per cell



Q takes first place; second place is 48 meV per atom up.



P:
# PmSmErAl PBE optimized geometry
data_PmSmErAl
_space_group_name_H-M_alt 'F -4 3 m'
_space_group_IT_number 216
_space_group_name_Hall 'F -4 2 3'
_cell_length_a 7.650
_cell_length_b 7.650
_cell_length_c 7.650
_cell_angle_alpha 90.00
_cell_angle_beta 90.00
_cell_angle_gamma 90.00
loop_
_atom_site_label
_atom_site_type_symbol
_atom_site_fract_x
_atom_site_fract_y
_atom_site_fract_z
Pm1 Pm 0.000 0.000 0.000
Sm1 Sm 0.000 0.000 0.500
Er1 Er 0.250 0.250 0.250
Al1 Al 0.250 0.250 0.750
# calculated volume	447.76	Å³ per cell



Q:
# PmSmErAl PBE optimized geometry
data_PmSmErAl
_space_group_name_H-M_alt 'P 4 m m'
_space_group_IT_number 99
_cell_length_a 3.534
_cell_length_b 3.534
_cell_length_c 9.194
_cell_angle_alpha 90.00
_cell_angle_beta 90.00
_cell_angle_gamma 90.00
loop_
_space_group_symop_operation_xyz
'x,y,z'
'-y,x,z'
'-x,-y,z'
'y,-x,z'
'-x,y,z'
'y,x,z'
'x,-y,z'
'-y,-x,z'
loop_
_atom_site_label
_atom_site_type_symbol
_atom_site_fract_x
_atom_site_fract_y
_atom_site_fract_z
Pm1 Pm 0.000 0.000 0.000
Sm1 Sm 0.500 0.500 0.702
Er1 Er 0.500 0.500 0.281
Al1 Al 0.000 0.000 0.485
# calculated volume	114.79	Å³ per cell



Q takes first place; second place is 114 meV per atom up.



P:
# TbPmErAl PBE optimized geometry
data_TbPmErAl
_space_group_name_H-M_alt 'F -4 3 m'
_space_group_IT_number 216
_space_group_name_Hall 'F -4 2 3'
_cell_length_a 7.610
_cell_length_b 7.610
_cell_length_c 7.610
_cell_angle_alpha 90.00
_cell_angle_beta 90.00
_cell_angle_gamma 90.00
loop_
_atom_site_label
_atom_site_type_symbol
_atom_site_fract_x
_atom_site_fract_y
_atom_site_fract_z
Tb1 Tb 0.000 0.000 0.000
Pm1 Pm 0.000 0.000 0.500
Er1 Er 0.250 0.250 0.250
Al1 Al 0.250 0.250 0.750
# calculated volume	440.72	Å³ per cell



Q:
# TbPmErAl PBE optimized geometry
data_TbPmErAl
_space_group_name_H-M_alt 'P 4 m m'
_space_group_IT_number 99
_cell_length_a 3.524
_cell_length_b 3.524
_cell_length_c 9.080
_cell_angle_alpha 90.00
_cell_angle_beta 90.00
_cell_angle_gamma 90.00
loop_
_space_group_symop_operation_xyz
'x,y,z'
'-y,x,z'
'-x,-y,z'
'y,-x,z'
'-x,y,z'
'y,x,z'
'x,-y,z'
'-y,-x,z'
loop_
_atom_site_label
_atom_site_type_symbol
_atom_site_fract_x
_atom_site_fract_y
_atom_site_fract_z
Tb1 Tb 0.000 0.000 0.000
Pm1 Pm 0.500 0.500 0.293
Er1 Er 0.000 0.000 0.580
Al1 Al 0.500 0.500 0.787
# calculated volume	112.75	Å³ per cell



Q takes first place; second place is 128 meV per atom up.



P:
# PmErTmAl PBE optimized geometry
data_PmErTmAl
_space_group_name_H-M_alt 'F -4 3 m'
_space_group_IT_number 216
_space_group_name_Hall 'F -4 2 3'
_cell_length_a 7.565
_cell_length_b 7.565
_cell_length_c 7.565
_cell_angle_alpha 90.00
_cell_angle_beta 90.00
_cell_angle_gamma 90.00
loop_
_atom_site_label
_atom_site_type_symbol
_atom_site_fract_x
_atom_site_fract_y
_atom_site_fract_z
Pm1 Pm 0.000 0.000 0.000
Er1 Er 0.000 0.000 0.500
Tm1 Tm 0.250 0.250 0.750
Al1 Al 0.250 0.250 0.250
# calculated volume	432.97	Å³ per cell



Q:
# PmErTmAl PBE optimized geometry
data_PmErTmAl
_space_group_name_H-M_alt 'P 4 m m'
_space_group_IT_number 99
_cell_length_a 3.507
_cell_length_b 3.507
_cell_length_c 8.990
_cell_angle_alpha 90.00
_cell_angle_beta 90.00
_cell_angle_gamma 90.00
loop_
_space_group_symop_operation_xyz
'x,y,z'
'-y,x,z'
'-x,-y,z'
'y,-x,z'
'-x,y,z'
'y,x,z'
'x,-y,z'
'-y,-x,z'
loop_
_atom_site_label
_atom_site_type_symbol
_atom_site_fract_x
_atom_site_fract_y
_atom_site_fract_z
Pm1 Pm 0.000 0.000 0.000
Er1 Er 0.500 0.500 0.708
Tm1 Tm 0.500 0.500 0.289
Al1 Al 0.000 0.000 0.498
# calculated volume	110.58	Å³ per cell



Q takes first place; second place is 134 meV per atom up.



P:
# Pr2ErAl3 PBE optimized geometry
data_Pr2ErAl3
_space_group_name_H-M_alt 'P 1 2/m 1'
_space_group_IT_number 10
_cell_length_a 5.216
_cell_length_b 7.405
_cell_length_c 8.259
_cell_angle_alpha 90.00
_cell_angle_beta 108.35
_cell_angle_gamma 90.00
loop_
_space_group_symop_operation_xyz
'x,y,z'
'-x,-y,-z'
'-x,y,-z'
'x,-y,z'
loop_
_atom_site_label
_atom_site_type_symbol
_atom_site_fract_x
_atom_site_fract_y
_atom_site_fract_z
Pr1 Pr 0.000 0.000 0.000
Pr2 Pr 0.000 0.500 0.000
Pr3 Pr 0.337 0.000 0.674
Er1 Er 0.333 0.500 0.665
Al1 Al 0.171 0.264 0.342
Al2 Al 0.500 0.265 0.000
# calculated volume	302.81	Å³ per cell



Q:
# Pr2ErAl3 PBE optimized geometry
data_Pr2ErAl3
_space_group_name_H-M_alt 'C m c m'
_space_group_IT_number 63
_space_group_name_Hall '-C 2c 2'
_cell_length_a 14.397
_cell_length_b 9.634
_cell_length_c 4.854
_cell_angle_alpha 90.00
_cell_angle_beta 90.00
_cell_angle_gamma 90.00
loop_
_atom_site_label
_atom_site_type_symbol
_atom_site_fract_x
_atom_site_fract_y
_atom_site_fract_z
Pr1 Pr 0.147 0.182 0.250
Er1 Er 0.000 0.381 0.750
Al1 Al 0.000 0.072 0.750
Al2 Al 0.181 0.500 0.000
# calculated volume	673.21	Å³ per cell



P takes first place; second place is 197 meV per atom up.



P:
# PrEr2Al PBE optimized geometry
data_PrEr2Al
_space_group_name_H-M_alt 'P 4/m m m'
_space_group_IT_number 123
_space_group_name_Hall '-P 4 2'
_cell_length_a 4.807
_cell_length_b 4.807
_cell_length_c 4.784
_cell_angle_alpha 90.00
_cell_angle_beta 90.00
_cell_angle_gamma 90.00
loop_
_atom_site_label
_atom_site_type_symbol
_atom_site_fract_x
_atom_site_fract_y
_atom_site_fract_z
Pr1 Pr 0.000 0.000 0.000
Er1 Er 0.000 0.500 0.500
Al1 Al 0.500 0.500 0.000
# calculated volume	110.53	Å³ per cell



Q:
# PrEr2Al PBE optimized geometry
data_PrEr2Al
_space_group_name_H-M_alt 'P 4/m m m'
_space_group_IT_number 123
_space_group_name_Hall '-P 4 2'
_cell_length_a 3.530
_cell_length_b 3.530
_cell_length_c 9.062
_cell_angle_alpha 90.00
_cell_angle_beta 90.00
_cell_angle_gamma 90.00
loop_
_atom_site_label
_atom_site_type_symbol
_atom_site_fract_x
_atom_site_fract_y
_atom_site_fract_z
Pr1 Pr 0.000 0.000 0.000
Er1 Er 0.500 0.500 0.293
Al1 Al 0.000 0.000 0.500
# calculated volume	112.89	Å³ per cell



Q takes first place; second place is 32 meV per atom up.



P:
# PrEr3Al8 PBE optimized geometry
data_PrEr3Al8
_space_group_name_H-M_alt 'P 3 m 1'
_space_group_IT_number 156
_cell_length_a 5.5674
_cell_length_b 5.5674
_cell_length_c 9.1504
_cell_angle_alpha 90.00
_cell_angle_beta 90.00
_cell_angle_gamma 120.00
loop_
_space_group_symop_operation_xyz
'x,y,z'
'-y,x-y,z'
'-x+y,-x,z'
'-y,-x,z'
'-x+y,y,z'
'x,x-y,z'
loop_
_atom_site_label
_atom_site_type_symbol
_atom_site_fract_x
_atom_site_fract_y
_atom_site_fract_z
Pr1 Pr 0.0000 0.0000 0.0000
Er1 Er 0.0000 0.0000 0.3648
Er2 Er 0.6667 0.3333 0.4985
Er3 Er 0.6667 0.3333 0.8621
Al1 Al 0.1622 0.3245 0.6788
Al2 Al 0.3333 0.6667 0.4342
Al3 Al 0.3333 0.6667 0.9300
Al4 Al 0.5045 0.0090 0.1870
# calculated volume	245.63	Å³ per cell



Q:
# PrEr3Al8 PBE optimized geometry
data_PrEr3Al8
_space_group_name_H-M_alt 'R 3 m'
_space_group_IT_number 160
_space_group_name_Hall 'R 3 -2"'
_cell_length_a 5.5665
_cell_length_b 5.5665
_cell_length_c 27.4510
_cell_angle_alpha 90.00
_cell_angle_beta 90.00
_cell_angle_gamma 120.00
loop_
_atom_site_label
_atom_site_type_symbol
_atom_site_fract_x
_atom_site_fract_y
_atom_site_fract_z
Pr1 Pr 0.0000 0.0000 0.0000
Er1 Er 0.0000 0.0000 0.3758
Er2 Er 0.0000 0.0000 0.4993
Er3 Er 0.0000 0.0000 0.8746
Al1 Al 0.0000 0.0000 0.1870
Al2 Al 0.0000 0.0000 0.6879
Al3 Al 0.0011 0.5006 0.4386
Al4 Al 0.1670 0.3340 0.2693
# calculated volume	736.65	Å³ per cell



Q takes first place; second place is 9 meV per atom up.



P:
# PrEr2Al6 PBE optimized geometry
data_PrEr2Al6
_space_group_name_H-M_alt 'P 6/m m m'
_space_group_IT_number 191
_space_group_name_Hall '-P 6 2'
_cell_length_a 7.9438
_cell_length_b 7.9438
_cell_length_c 3.5237
_cell_angle_alpha 90.00
_cell_angle_beta 90.00
_cell_angle_gamma 120.00
loop_
_atom_site_label
_atom_site_type_symbol
_atom_site_fract_x
_atom_site_fract_y
_atom_site_fract_z
Pr1 Pr 0.0000 0.0000 0.0000
Er1 Er 0.3333 0.6667 0.0000
Al1 Al 0.0000 0.3364 0.5000
# calculated volume	192.57	Å³ per cell



Q:
# PrEr2Al6 PBE optimized geometry
data_PrEr2Al6
_space_group_name_H-M_alt 'I m m m'
_space_group_IT_number 71
_space_group_name_Hall '-I 2 2'
_cell_length_a 4.409
_cell_length_b 7.222
_cell_length_c 13.395
_cell_angle_alpha 90.00
_cell_angle_beta 90.00
_cell_angle_gamma 90.00
loop_
_atom_site_label
_atom_site_type_symbol
_atom_site_fract_x
_atom_site_fract_y
_atom_site_fract_z
Pr1 Pr 0.000 0.000 0.000
Er1 Er 0.000 0.500 0.124
Al1 Al 0.000 0.182 0.500
Al2 Al 0.000 0.304 0.313
# calculated volume	426.49	Å³ per cell



P takes first place; second place is 204 meV per atom up.



P:
# PrEr4Al2 PBE optimized geometry
data_PrEr4Al2
_space_group_name_H-M_alt 'R -3 m'
_space_group_IT_number 166
_space_group_name_Hall '-R 3 2"'
_cell_length_a 5.3040
_cell_length_b 5.3040
_cell_length_c 23.3446
_cell_angle_alpha 90.00
_cell_angle_beta 90.00
_cell_angle_gamma 120.00
loop_
_atom_site_label
_atom_site_type_symbol
_atom_site_fract_x
_atom_site_fract_y
_atom_site_fract_z
Pr1 Pr 0.0000 0.0000 0.0000
Er1 Er 0.0000 0.0000 0.1545
Er2 Er 0.0000 0.0000 0.4210
Al1 Al 0.0000 0.0000 0.2820
# calculated volume	568.76	Å³ per cell



Q:
# PrEr4Al2 PBE optimized geometry
data_PrEr4Al2
_space_group_name_H-M_alt 'I 4/m m m'
_space_group_IT_number 139
_space_group_name_Hall '-I 4 2'
_cell_length_a 5.624
_cell_length_b 5.624
_cell_length_c 12.732
_cell_angle_alpha 90.00
_cell_angle_beta 90.00
_cell_angle_gamma 90.00
loop_
_atom_site_label
_atom_site_type_symbol
_atom_site_fract_x
_atom_site_fract_y
_atom_site_fract_z
Pr1 Pr 0.000 0.000 0.000
Er1 Er 0.000 0.500 0.000
Er2 Er 0.000 0.500 0.250
Al1 Al 0.000 0.000 0.385
# calculated volume	402.78	Å³ per cell



P takes first place; second place is 492 meV per atom up.



P:
# Pr4Er5Al PBE optimized geometry
data_Pr4Er5Al
_space_group_name_H-M_alt 'P 4/m m m'
_space_group_IT_number 123
_space_group_name_Hall '-P 4 2'
_cell_length_a 3.594
_cell_length_b 3.594
_cell_length_c 24.212
_cell_angle_alpha 90.00
_cell_angle_beta 90.00
_cell_angle_gamma 90.00
loop_
_atom_site_label
_atom_site_type_symbol
_atom_site_fract_x
_atom_site_fract_y
_atom_site_fract_z
Pr1 Pr 0.000 0.000 0.105
Pr2 Pr 0.000 0.000 0.317
Er1 Er 0.500 0.500 0.000
Er2 Er 0.500 0.500 0.211
Er3 Er 0.500 0.500 0.425
Al1 Al 0.000 0.000 0.500
# calculated volume	312.69	Å³ per cell



Q:
# Pr4Er5Al PBE optimized geometry
data_Pr4Er5Al
_space_group_name_H-M_alt 'I 4 m m'
_space_group_IT_number 107
_space_group_name_Hall 'I 4 -2'
_cell_length_a 10.747
_cell_length_b 10.747
_cell_length_c 5.695
_cell_angle_alpha 90.00
_cell_angle_beta 90.00
_cell_angle_gamma 90.00
loop_
_atom_site_label
_atom_site_type_symbol
_atom_site_fract_x
_atom_site_fract_y
_atom_site_fract_z
Pr1 Pr 0.000 0.310 0.000
Er1 Er 0.000 0.000 0.200
Er2 Er 0.181 0.181 0.508
Al1 Al 0.000 0.000 0.714
# calculated volume	657.67	Å³ per cell



P takes first place; second place is 126 meV per atom up.



P:
# Pr2Er2Al PBE optimized geometry
data_Pr2Er2Al
_space_group_name_H-M_alt 'I 4/m m m'
_space_group_IT_number 139
_space_group_name_Hall '-I 4 2'
_cell_length_a 4.314
_cell_length_b 4.314
_cell_length_c 17.580
_cell_angle_alpha 90.00
_cell_angle_beta 90.00
_cell_angle_gamma 90.00
loop_
_atom_site_label
_atom_site_type_symbol
_atom_site_fract_x
_atom_site_fract_y
_atom_site_fract_z
Pr1 Pr 0.000 0.500 0.250
Er1 Er 0.000 0.000 0.085
Al1 Al 0.000 0.000 0.500
# calculated volume	327.13	Å³ per cell



Q:
# Pr2Er2Al PBE optimized geometry
data_Pr2Er2Al
_space_group_name_H-M_alt 'I 4/m m m'
_space_group_IT_number 139
_space_group_name_Hall '-I 4 2'
_cell_length_a 3.552
_cell_length_b 3.552
_cell_length_c 23.707
_cell_angle_alpha 90.00
_cell_angle_beta 90.00
_cell_angle_gamma 90.00
loop_
_atom_site_label
_atom_site_type_symbol
_atom_site_fract_x
_atom_site_fract_y
_atom_site_fract_z
Pr1 Pr 0.000 0.000 0.190
Er1 Er 0.000 0.000 0.421
Al1 Al 0.000 0.000 0.000
# calculated volume	299.13	Å³ per cell



Q takes first place; second place is 629 meV per atom up.